BaNa2Se2 (PBE-GGA, optimized geometry); distance to the lowest polymorph of the same formula = 222 meV per atom; space group = P4/mbm; energy relative to the elements, uncorrected = -1.1094 eV/atom; density = 3.7 g/cm3; calculated total energy = -34.2 eV/cell
1.0
-4.716 -4.494 5.589
4.238 -7.142 -2.168
2.809 0.761 2.982
Se Na Ba
4 4 2
Cartesian
-1.039 -8.526 3.155 Se
1.963 -7.365 0.031 Se
-2.441 -4.271 3.390 Se
0.561 -3.111 0.265 Se
2.158 -8.676 3.093 Na
3.463 -4.654 0.837 Na
-1.132 -6.221 5.566 Na
0.173 -2.200 3.310 Na
0.000 0.000 0.000 Ba
-0.239 -5.818 1.710 Ba



TaMnRe2 (PBE-GGA, optimized geometry); space group = Imm2; density = 16.6 g/cm3; energy relative to the elements = -0.06 eV per atom; calculated total energy = -46.2 eV/cell
1.0
-2.303 -4.591 0.035
1.137 -3.092 3.940
-1.915 4.595 -1.263
Ta Re Mn
1 2 1
Cartesian
-0.585 -3.852 1.993 Ta
-1.164 -7.667 3.968 Re
-2.404 -1.942 0.392 Re
-0.677 -1.149 2.323 Mn



HoGa2Tc4 (PBE-GGA, optimized geometry); space group = Cmmm; density = 9.4 g/cm3; energy relative to the elements = -0.26 eV per atom; calculated total energy = -53.9 eV/cell
1.0
-1.366 0.479 -3.922
-3.213 -2.552 0.808
-2.271 6.799 1.620
Ga Tc Ho
2 4 1
Cartesian
-2.967 -0.073 -1.204 Ga
-3.883 4.797 -0.290 Ga
-2.337 3.328 1.220 Tc
-4.633 2.300 -0.334 Tc
-2.217 2.424 -1.160 Tc
-3.147 0.918 1.208 Tc
0.000 0.000 0.000 Ho



CsGaAg2Hg (PBE-GGA, optimized geometry); space group = P4/mmm; density = 6.7 g/cm3; energy relative to the elements = 0.01 eV per atom; calculated total energy = -9.9 eV/cell
1.0
5.252 0.000 0.000
0.000 5.252 0.000
0.000 0.000 5.529
Cs Hg Ag Ga
1 1 2 1
Cartesian
2.626 2.626 2.765 Cs
0.000 0.000 2.765 Hg
0.000 2.626 0.000 Ag
2.626 0.000 0.000 Ag
0.000 0.000 0.000 Ga



Pr2SiNi7 (PBE-GGA, optimized geometry); space group = P-4m2; energy relative to the elements, uncorrected = -0.2682 eV/atom; density = 7.7 g/cm3; calculated total energy = -58.1 eV/cell
1.0
-3.311 0.299 -2.091
1.390 -2.619 -2.576
-4.089 -7.486 5.403
Ni Pr Si
7 2 1
Cartesian
-3.132 -2.553 0.906 Ni
-2.045 -3.743 2.702 Ni
0.000 0.000 0.000 Ni
-2.881 -7.855 3.437 Ni
-2.169 -0.790 -0.367 Ni
-1.918 -6.092 2.164 Ni
-3.005 -4.902 0.368 Ni
-4.685 -5.396 2.958 Pr
-0.365 -3.249 0.112 Pr
-0.961 -1.160 -2.334 Si



ReHg2W (PBE-GGA, optimized geometry); distance to the lowest polymorph of the same formula = 456 meV per atom; space group = Cmmm; density = 17.7 g/cm3; energy relative to the elements = 0.96 eV per atom; calculated total energy = -22.2 eV/cell
1.0
-0.941 -2.563 -0.783
1.367 1.454 -2.022
8.579 -4.036 2.896
Re Hg W
1 2 1
Cartesian
2.357 -1.563 -0.679 Re
0.015 -0.007 0.005 Hg
4.275 -2.011 1.443 Hg
6.647 -3.581 0.769 W



CsInI2 (PBE-GGA, optimized geometry); distance to the lowest polymorph of the same formula = 45 meV per atom; space group = P4/mmm; energy relative to the elements, uncorrected = -0.9422 eV/atom; density = 4.7 g/cm3; calculated total energy = -10.5 eV/cell
1.0
-2.360 3.752 -0.205
-3.399 -2.235 -1.772
-3.214 -1.576 8.155
In Cs I
1 1 2
Cartesian
-2.880 0.759 -0.988 In
-4.487 -0.029 3.089 Cs
-0.744 -0.365 1.887 I
-2.471 -1.211 6.268 I



Pr6OsRh2Br3 (PBE-GGA, optimized geometry); space group = C2/m; energy relative to the elements, uncorrected = -0.9409 eV/atom; density = 7.0 g/cm3; calculated total energy = -70.9 eV/cell
1.0
7.184 -0.001 0.000
-3.591 6.222 0.000
-1.198 -2.074 7.912
Rh Pr Br Os
2 6 3 1
Cartesian
3.593 2.073 0.000 Rh
0.000 4.148 0.000 Rh
3.574 2.104 6.353 Pr
-0.018 -0.032 6.351 Pr
2.359 0.000 1.560 Pr
-1.179 2.043 1.560 Pr
0.036 4.147 6.353 Pr
2.413 4.179 1.562 Pr
4.807 -0.011 3.957 Br
1.197 2.073 3.957 Br
-2.412 4.158 3.957 Br
0.000 0.000 0.000 Os



Ac2DyBi2O2 (PBE-GGA, optimized geometry); space group = I4/mmm; energy relative to the elements, uncorrected = -1.9171 eV/atom; density = 9.8 g/cm3; calculated total energy = -43.9 eV/cell
1.0
-2.072 4.028 -0.310
-1.778 -1.222 -3.994
-5.061 -4.679 6.264
O Ac Bi Dy
2 2 2 1
Cartesian
-0.889 -0.611 -1.997 O
-1.036 2.014 -0.155 O
-3.481 0.673 -1.236 Ac
-5.430 -2.547 3.196 Ac
-2.620 -1.229 1.542 Bi
-6.291 -0.645 0.418 Bi
0.000 0.000 0.000 Dy



Li2CaAs (PBE-GGA, optimized geometry); space group = I-42d; density = 2.4 g/cm3; energy relative to the elements = -0.44 eV per atom; calculated total energy = -24.5 eV/cell
1.0
-1.820 2.319 3.155
-3.329 0.916 -2.593
-7.124 -6.161 3.375
Li Ca As
4 2 2
Cartesian
-7.834 -2.344 4.592 Li
-9.288 -2.854 1.173 Li
-2.233 -1.380 0.583 Li
-5.190 0.725 1.527 Li
-6.514 -1.814 0.532 Ca
-2.574 1.617 0.281 Ca
0.000 0.000 0.000 As
-5.759 -1.112 3.406 As



Tm4TlHg2Pd (PBE-GGA, optimized geometry); space group = R-3m; density = 12.0 g/cm3; energy relative to the elements = -0.54 eV per atom; calculated total energy = -30.4 eV/cell
1.0
5.154 0.000 0.000
2.577 4.464 0.000
2.577 1.488 8.381
Tm Tl Hg Pd
4 1 2 1
Cartesian
7.731 4.464 3.273 Tm
2.577 1.488 5.108 Tm
5.154 2.976 7.154 Tm
5.154 2.976 1.228 Tm
0.000 0.000 0.000 Tl
2.577 1.488 2.016 Hg
7.731 4.464 6.365 Hg
5.154 2.976 4.191 Pd



Ni2SeBr (PBE-GGA, optimized geometry); distance to the lowest polymorph of the same formula = 336 meV per atom; space group = Cmmm; energy relative to the elements, uncorrected = 0.1957 eV/atom; density = 5.5 g/cm3; calculated total energy = -15.9 eV/cell
1.0
-3.484 -1.636 -0.977
2.261 -0.605 3.208
-3.314 5.089 3.295
Ni Se Br
2 1 1
Cartesian
-1.563 2.401 1.554 Ni
-0.094 0.144 0.093 Ni
-1.440 0.152 1.939 Se
-3.097 2.696 3.587 Br



CsPaCl14 (PBE-GGA, optimized geometry); space group = P1; energy relative to the elements, uncorrected = -0.9232 eV/atom; density = 2.1 g/cm3; calculated total energy = -51.0 eV/cell
1.0
7.463 -0.596 -0.026
-2.580 7.705 -0.859
0.366 -0.579 11.962
Cl Cs Pa
14 1 1
Cartesian
0.201 0.729 5.191 Cl
0.973 3.983 5.289 Cl
3.619 0.733 10.776 Cl
5.461 2.991 1.178 Cl
3.721 4.201 3.142 Cl
2.418 0.196 6.293 Cl
5.581 3.769 7.010 Cl
4.281 -0.326 7.133 Cl
-0.763 2.674 6.125 Cl
2.691 5.335 4.513 Cl
3.922 -0.328 1.903 Cl
3.127 5.481 9.965 Cl
-0.295 1.609 10.141 Cl
0.024 0.543 1.319 Cl
-0.649 5.189 10.329 Cs
5.374 0.643 0.059 Pa



PuUAsO2 (PBE-GGA, optimized geometry); space group = I4mm; energy relative to the elements, uncorrected = -2.3425 eV/atom; density = 11.3 g/cm3; calculated total energy = -51.9 eV/cell
1.0
-3.563 0.972 -0.931
-1.276 -3.278 1.459
1.746 3.785 5.062
O U As Pu
2 1 1 1
Cartesian
-2.125 1.828 2.250 O
-0.981 -0.297 3.445 O
-2.896 0.710 4.034 U
-0.668 2.612 5.285 As
-0.188 0.736 1.490 Pu



RbAcGe2Br8 (PBE-GGA, optimized geometry); space group = P-1; energy relative to the elements, uncorrected = -1.2160 eV/atom; density = 3.6 g/cm3; calculated total energy = -42.3 eV/cell
1.0
7.394 0.249 0.241
0.324 6.827 0.110
0.313 0.145 9.974
Br Ge Ac Rb
8 2 1 1
Cartesian
6.350 1.952 8.010 Br
1.553 5.105 7.857 Br
1.681 5.270 2.315 Br
6.478 2.116 2.469 Br
5.171 5.290 0.534 Br
3.010 1.965 5.902 Br
2.860 1.931 9.791 Br
5.021 5.256 4.424 Br
3.779 3.327 7.791 Ge
4.252 3.895 2.534 Ge
0.000 0.000 0.000 Ac
0.156 0.073 4.987 Rb



CaLaYCd (PBE-GGA, optimized geometry); distance to the lowest polymorph of the same formula = 0 meV per atom; space group = P4mm; density = 4.9 g/cm3; energy relative to the elements = -0.15 eV per atom; calculated total energy = -14.9 eV/cell
1.0
-2.995 2.143 0.107
-2.003 -2.726 -1.460
-2.002 -3.239 8.793
Y La Ca Cd
1 1 1 1
Cartesian
-3.216 -1.452 2.475 Y
-0.183 -0.297 0.805 La
-4.052 -2.805 6.147 Ca
-1.118 -1.810 4.912 Cd



TbDy2HfAs4 (PBE-GGA, optimized geometry); space group = P2/m; density = 8.6 g/cm3; energy relative to the elements = -1.40 eV per atom; calculated total energy = -53.6 eV/cell
1.0
4.037 0.000 0.000
0.000 6.996 0.133
0.000 -2.434 6.559
As Dy Hf Tb
4 2 1 1
Cartesian
0.000 4.707 1.702 As
2.018 1.079 1.591 As
2.018 3.484 5.101 As
0.000 -0.144 4.990 As
0.000 2.281 3.346 Dy
2.018 -1.217 3.279 Dy
0.000 0.000 0.000 Hf
2.018 3.498 0.067 Tb



AlRu (PBE-GGA, optimized geometry); space group = Cm; density = 7.5 g/cm3; energy relative to the elements = -0.37 eV per atom; calculated total energy = -41.3 eV/cell
1.0
1.434 5.075 0.002
-1.434 5.075 0.002
0.000 1.720 5.866
Al Ru
3 3
Cartesian
0.000 3.921 2.126 Al
0.000 11.814 5.734 Al
0.000 6.744 1.636 Al
0.000 7.906 3.949 Ru
0.000 10.616 3.467 Ru
0.000 4.505 5.591 Ru



SrNpSe2 (PBE-GGA, optimized geometry); distance to the lowest polymorph of the same formula = 0 meV per atom; space group = R-3m; energy relative to the elements, uncorrected = -1.4742 eV/atom; density = 7.2 g/cm3; calculated total energy = -27.5 eV/cell
1.0
-1.986 0.940 3.630
2.028 -0.433 3.702
2.312 6.863 1.968
Sr Se Np
1 2 1
Cartesian
1.177 3.685 4.650 Sr
0.549 1.727 2.333 Se
1.805 5.643 6.967 Se
0.000 0.000 0.000 Np



Er5Hg2Ir2Rh (PBE-GGA, optimized geometry); space group = P4/mbm; density = 12.2 g/cm3; energy relative to the elements = -0.62 eV per atom; calculated total energy = -109.4 eV/cell
1.0
-2.323 -2.309 -1.425
7.240 -8.610 2.149
-4.825 -1.491 10.279
Ir Er Hg Rh
4 10 4 2
Cartesian
-2.091 -2.092 6.796 Ir
2.012 -3.356 2.158 Ir
4.505 -8.009 5.632 Ir
0.403 -6.745 10.270 Ir
-0.310 -7.172 7.649 Er
-3.574 -1.900 4.427 Er
-4.486 -3.039 7.759 Er
2.458 -5.459 0.362 Er
4.578 -9.371 3.244 Er
0.242 -9.481 10.491 Er
-0.150 -2.928 0.513 Er
0.402 -5.238 3.355 Er
1.820 -7.743 5.103 Er
-1.728 -4.666 5.900 Er
4.037 -6.049 3.221 Hg
-1.622 -4.052 9.208 Hg
2.744 -8.126 8.693 Hg
-0.329 -1.975 3.736 Hg
1.207 -5.050 6.214 Rh
0.000 0.000 0.000 Rh



KLa2HgIr (PBE-GGA, optimized geometry); space group = P4/mmm; density = 6.8 g/cm3; energy relative to the elements = -0.22 eV per atom; calculated total energy = -21.2 eV/cell
1.0
-2.685 -4.738 1.214
2.428 -0.089 5.023
-4.216 2.925 2.090
K Ir Hg La
1 1 1 2
Cartesian
-2.237 -0.951 4.163 K
0.000 0.000 0.000 Ir
-2.108 1.462 1.045 Hg
-1.342 -2.369 0.607 La
1.214 -0.045 2.511 La



Na2In5Hg3 (PBE-GGA, optimized geometry); distance to the lowest polymorph of the same formula = 32 meV per atom; space group = Ibam; density = 7.1 g/cm3; energy relative to the elements = -0.06 eV per atom; calculated total energy = -35.7 eV/cell
1.0
-3.084 -5.885 -0.949
4.057 -6.871 5.692
-7.749 -0.727 5.957
In Hg Na
10 6 4
Cartesian
-6.002 -1.386 4.364 In
-2.617 -5.270 5.588 In
-0.774 -12.097 6.337 In
-4.009 -7.790 2.003 In
-2.467 -4.847 2.478 In
0.918 -8.732 3.700 In
-4.159 -8.213 5.113 In
-4.309 -8.636 8.223 In
-7.694 -4.751 7.001 In
-2.767 -5.693 8.698 In
-3.250 -10.806 6.377 Hg
-2.313 -4.414 -0.712 Hg
-1.560 -7.445 3.770 Hg
-0.771 -1.471 -0.237 Hg
-3.525 -2.677 4.324 Hg
-5.216 -6.038 6.931 Hg
-0.538 -8.479 6.867 Na
-7.932 -8.377 6.524 Na
1.157 -5.106 4.177 Na
-6.238 -5.004 3.834 Na



no.,total magnetic moment (Bohr magnetons per cell)
1,0.0
2,2.4
3,0.0
4,0.0
5,0.3
6,0.0
7,0.0
8,0.0
9,0.0
10,0.0
11,0.0
12,0.0
13,0.0
14,7.0
15,0.0
16,0.0
17,0.0
18,0.0
19,4.7
20,0.0
21,0.0
22,0.0